[1]
Here is a relaxed Ac3IrSeO crystal from the Alexandria database. Energies are from PBE-GGA.

Computed properties:
formation energy from raw total energies	-1.78	eV per atom

Cell and atoms, written as CIF:
```
data_Ac3IrSeO
_symmetry_space_group_name_H-M 'P 1 21/m 1'
_symmetry_Int_Tables_number 11
_symmetry_space_group_name_Hall '-P 2yb'
_cell_length_a 9.3153
_cell_length_b 4.2766
_cell_length_c 9.4223
_cell_angle_alpha 90.00
_cell_angle_beta 102.25
_cell_angle_gamma 90.00
loop_
_atom_site_label
_atom_site_type_symbol
_atom_site_fract_x
_atom_site_fract_y
_atom_site_fract_z
_atom_site_occupancy
Ac1 Ac 0.0644 0.2500 0.3317 1
Ac2 Ac 0.3188 0.2500 0.9820 1
Ac3 Ac 0.3714 0.7500 0.6418 1
Ir1 Ir 0.1552 0.2500 0.6522 1
Se1 Se 0.3386 0.7500 0.2725 1
O1 O 0.4174 0.7500 0.9087 1
```

---

[2]
Here is a relaxed Ce2PmDyPb4 crystal from the Alexandria database. Energies are from PBE-GGA.

Computed properties:
energy of formation from the pure elements	-3.15	eV/f.u.

Cell and atoms, written as CIF:
```
data_Ce2PmDyPb4
_symmetry_space_group_name_H-M 'R -3 m'
_symmetry_Int_Tables_number 166
_symmetry_space_group_name_Hall '-R 3 2"'
_cell_length_a 5.2033
_cell_length_b 5.2033
_cell_length_c 31.6899
_cell_angle_alpha 90.00
_cell_angle_beta 90.00
_cell_angle_gamma 120.00
loop_
_atom_site_label
_atom_site_type_symbol
_atom_site_fract_x
_atom_site_fract_y
_atom_site_fract_z
_atom_site_occupancy
Ce1 Ce 0.0000 0.0000 0.2481 1
Pm1 Pm 0.0000 0.0000 0.0000 1
Dy1 Dy 0.0000 0.0000 0.5000 1
Pb1 Pb 0.0000 0.0000 0.1268 1
Pb2 Pb 0.0000 0.0000 0.3757 1
```

---

[3]
Here is a relaxed MnSbAu2 crystal from the Alexandria database. Energies are from PBE-GGA.

Computed properties:
formation energy from raw total energies	0.10	eV per atom

Cell and atoms, written as CIF:
```
data_MnSbAu2
_symmetry_space_group_name_H-M 'I -4 m 2'
_symmetry_Int_Tables_number 119
_symmetry_space_group_name_Hall 'I -4 -2'
_cell_length_a 4.1841
_cell_length_b 4.1841
_cell_length_c 8.7849
_cell_angle_alpha 90.00
_cell_angle_beta 90.00
_cell_angle_gamma 90.00
loop_
_atom_site_label
_atom_site_type_symbol
_atom_site_fract_x
_atom_site_fract_y
_atom_site_fract_z
_atom_site_occupancy
Mn1 Mn 0.0000 0.0000 0.0000 1
Sb1 Sb 0.0000 0.5000 0.7500 1
Au1 Au 0.0000 0.0000 0.5000 1
Au2 Au 0.0000 0.5000 0.2500 1
```

---

[4]
Here is a relaxed Ir2PbAu crystal from the Alexandria database. Energies are from PBE-GGA.

Computed properties:
energy of formation from the pure elements	2.38	eV/f.u.

Cell and atoms, written as CIF:
```
data_Ir2PbAu
_symmetry_space_group_name_H-M 'I -4 m 2'
_symmetry_Int_Tables_number 119
_symmetry_space_group_name_Hall 'I -4 -2'
_cell_length_a 4.2011
_cell_length_b 4.2011
_cell_length_c 8.0238
_cell_angle_alpha 90.00
_cell_angle_beta 90.00
_cell_angle_gamma 90.00
loop_
_atom_site_label
_atom_site_type_symbol
_atom_site_fract_x
_atom_site_fract_y
_atom_site_fract_z
_atom_site_occupancy
Ir1 Ir 0.0000 0.0000 0.0000 1
Ir2 Ir 0.0000 0.5000 0.2500 1
Pb1 Pb 0.0000 0.5000 0.7500 1
Au1 Au 0.0000 0.0000 0.5000 1
```

---

What did we get for DFT total energy? Answer: -6.7168, -4.9006, -4.8590, -5.5808 eV per atom, in the order shown.
What did we get for DOS at the Fermi energy? Answer: 0.402, 2.126, 0.572, 1.391 states/eV per atom, in the order shown.